Density functional theory data (GGA-PBE) for a relaxed MgMnMoH crystal.

- VASP energy: -6.090 eV/atom
- Theoretical density: 6.01 Mg/m³
- SG: No. 8
- Distance to the lowest polymorph of the same formula: 73 meV per atom

```
4
Lattice="2.2264 -1.5917 0.0000 2.2264 1.5917 0.0000 -2.0506 0.0000 6.8675" Properties=species:S:1:pos:R:3 pbc="T T T"
Mg 0.0000 0.0000 0.0000
Mn 2.5819 0.0000 2.4483
Mo 0.2861 0.0000 4.5044
H 0.9719 0.0000 1.8286
```

=====

Density functional theory data (GGA-PBE) for a relaxed SmAgIr4 crystal.

- VASP energy: -7.401 eV/atom
- Theoretical density: 16.01 Mg/m³
- SG: No. 216
- DFT formation energy: -135 kJ/mol of formula units

```
6
Lattice="0.0000 3.7627 3.7627 3.7627 0.0000 3.7627 3.7627 3.7627 0.0000" Properties=species:S:1:pos:R:3 pbc="T T T"
Sm 0.0000 0.0000 0.0000
Ag 5.6440 5.6440 5.6440
Ir 2.8240 2.8240 2.8240
Ir 4.7013 4.7013 2.8240
Ir 4.7013 2.8240 4.7013
Ir 2.8240 4.7013 4.7013
```

=====

Density functional theory data (GGA-PBE) for a relaxed SbSCl crystal.

- VASP energy: -3.734 eV/atom
- Theoretical density: 3.20 Mg/m³
- SG: No. 2
- Uncorrected formation energy: -1.11 eV/f.u.

```
6
Lattice="5.2732 0.0000 0.0000 2.4303 4.8723 0.0000 0.8726 -0.0356 7.6467" Properties=species:S:1:pos:R:3 pbc="T T T"
Sb 0.8504 0.1956 1.2225
Sb 7.7257 4.6412 6.4242
S 4.0601 1.8762 7.0264
S 4.5160 2.9606 0.6203
Cl 1.7475 0.7869 5.0315
Cl 6.8286 4.0499 2.6152
```

=====

Density functional theory data (GGA-PBE) for a relaxed Li4GaAu2 crystal.

- VASP energy: -2.796 eV/atom
- Theoretical density: 6.82 Mg/m³
- SG: No. 12
- Distance to the lowest polymorph of the same formula: 108 meV per atom
- DFT formation energy: -225 kJ/mol of formula units

```
7
Lattice="6.9916 -1.4035 0.0000 6.9916 1.4035 0.0000 -3.5106 0.0000 6.0984" Properties=species:S:1:pos:R:3 pbc="T T T"
Li 0.4488 0.0000 1.4370
Li 4.6426 0.0000 0.6629
Li 5.8300 0.0000 5.4354
Li 10.0238 0.0000 4.6613
Ga -1.7553 0.0000 3.0492
Au 0.7928 0.0000 4.1203
Au 9.6799 0.0000 1.9781
```

=====

Density functional theory data (GGA-PBE) for a relaxed Si2Pd9 crystal.

- VASP energy: -5.676 eV/atom
- Theoretical density: 10.23 Mg/m³
- SG: No. 62
- Uncorrected formation energy: -4.86 eV/f.u.

```
44
Lattice="9.1715 0.0000 0.0000 0.0000 7.5256 0.0000 0.0000 0.0000 9.5394" Properties=species:S:1:pos:R:3 pbc="T T T"
Si 1.2026 1.8814 2.0164
Si 2.0848 5.6442 3.0680
Si 2.5009 1.8814 7.8377
Si 3.3831 5.6442 6.7861
Si 5.7884 1.8814 2.7533
Si 6.6706 5.6442 1.7017
Si 7.0866 1.8814 6.4714
Si 7.9689 5.6442 7.5230
Pd 0.4579 1.8814 6.3411
Pd 0.5429 1.8814 9.2517
Pd 0.9377 4.2586 7.8128
Pd 0.9377 7.0298 7.8128
Pd 1.0282 0.4330 3.8759
Pd 1.0282 3.3298 3.8759
Pd 1.3674 5.6442 5.4144
Pd 1.6707 4.2047 1.1666
Pd 1.6707 7.0837 1.1666
Pd 2.9150 0.4419 5.9363
Pd 2.9150 3.3209 5.9363
Pd 3.2183 1.8814 0.6447
Pd 3.5576 4.1958 8.6456
Pd 3.5576 7.0926 8.6456
Pd 3.6481 0.4958 3.0431
Pd 3.6481 3.2670 3.0431
Pd 4.0429 5.6442 4.4820
Pd 4.1278 5.6442 1.5714
Pd 5.0437 1.8814 7.9680
Pd 5.1286 1.8814 5.0574
Pd 5.5234 4.2586 6.4962
Pd 5.5234 7.0298 6.4962
Pd 5.6139 0.4330 0.8938
Pd 5.6139 3.3298 0.8938
Pd 5.9532 5.6442 8.8947
Pd 6.2565 4.2047 3.6031
Pd 6.2565 7.0837 3.6031
Pd 7.5008 0.4419 8.3728
Pd 7.5008 3.3209 8.3728
Pd 7.8040 1.8814 4.1250
Pd 8.1433 4.1958 5.6635
Pd 8.1433 7.0926 5.6635
Pd 8.2338 0.4958 1.7266
Pd 8.2338 3.2670 1.7266
Pd 8.6286 5.6442 0.2877
Pd 8.7135 5.6442 3.1983
```

=====

Density functional theory data (GGA-PBE) for a relaxed Pm8ZnIr3I4 crystal.

- VASP energy: -5.367 eV/atom
- Theoretical density: 7.70 Mg/m³
- SG: No. 166
- Uncorrected formation energy: -13.82 eV/f.u.

```
16
Lattice="4.2258 2.4398 8.0547 -4.2258 2.4398 8.0547 0.0000 -4.8796 8.0547" Properties=species:S:1:pos:R:3 pbc="T T T"
Pm -2.2072 -1.2743 13.5816
Pm 0.0000 0.0000 5.5304
Pm 0.0000 -2.5486 10.5826
Pm -2.2072 1.2743 10.5826
Pm 2.2072 -1.2743 13.5816
Pm 0.0000 2.5486 13.5816
Pm 0.0000 0.0000 18.6338
Pm 2.2072 1.2743 10.5826
Zn 0.0000 0.0000 12.0821
Ir -4.2258 0.0000 12.0821
Ir -2.1129 1.2199 4.0274
Ir 2.1129 1.2199 4.0274
I 0.0000 0.0000 0.0000
I -2.1129 -1.2199 8.0547
I -2.1129 1.2199 16.1095
I 0.0000 2.4398 8.0547
```

=====

Density functional theory data (GGA-PBE) for a relaxed Na3RhAu crystal.

- VASP energy: -2.319 eV/atom
- Theoretical density: 3.91 Mg/m³
- SG: No. 221
- Distance to the lowest polymorph of the same formula: 13 meV per atom
- DFT formation energy: 289 kJ/mol of formula units

```
5
Lattice="5.3916 0.0000 0.0000 0.0000 5.3916 0.0000 0.0000 0.0000 5.3916" Properties=species:S:1:pos:R:3 pbc="T T T"
Na 0.0000 0.0000 2.6958
Na 0.0000 2.6958 0.0000
Na 2.6958 0.0000 0.0000
Rh 2.6958 2.6958 2.6958
Au 0.0000 0.0000 0.0000
```

=====

Density functional theory data (GGA-PBE) for a relaxed HoScTiTl crystal.

- VASP energy: -5.300 eV/atom
- Theoretical density: 8.07 Mg/m³
- SG: No. 216
- DFT formation energy: -3 kJ/mol of formula units

```
4
Lattice="0.0000 3.6232 3.6232 3.6232 0.0000 3.6232 3.6232 3.6232 0.0000" Properties=species:S:1:pos:R:3 pbc="T T T"
Ho 0.0000 0.0000 0.0000
Sc 3.6232 3.6232 3.6232
Ti 5.4348 5.4348 5.4348
Tl 1.8116 1.8116 1.8116
```

=====

Density functional theory data (GGA-PBE) for a relaxed LuThC2 crystal.

- VASP energy: -7.747 eV/atom
- Theoretical density: 10.43 Mg/m³
- SG: No. 166
- DFT formation energy: -58 kJ/mol of formula units

```
4
Lattice="1.8366 1.0604 5.8748 -1.8366 1.0604 5.8748 0.0000 -2.1207 5.8748" Properties=species:S:1:pos:R:3 pbc="T T T"
Lu 0.0000 0.0000 0.0000
Th 0.0000 0.0000 8.8122
C 0.0000 0.0000 4.4466
C 0.0000 0.0000 13.1778
```

=====

Density functional theory data (GGA-PBE) for a relaxed MnReTeBr2 crystal.

- VASP energy: -4.717 eV/atom
- Theoretical density: 6.07 Mg/m³
- SG: No. 123
- Uncorrected formation energy: 4.52 eV/f.u.

```
5
Lattice="4.9032 0.0000 0.0000 0.0000 4.9032 0.0000 0.0000 0.0000 6.0098" Properties=species:S:1:pos:R:3 pbc="T T T"
Mn 0.0000 0.0000 0.0000
Re 2.4516 2.4516 3.0049
Te 0.0000 0.0000 3.0049
Br 0.0000 2.4516 0.0000
Br 2.4516 0.0000 0.0000
```

=====

Density functional theory data (GGA-PBE) for a relaxed RbZrZn2Ru crystal.

- VASP energy: -1.955 eV/atom
- Theoretical density: 5.12 Mg/m³
- SG: No. 123
- DFT formation energy: 1116 kJ/mol of formula units

```
5
Lattice="5.0577 0.0000 0.0000 0.0000 5.0577 0.0000 0.0000 0.0000 5.1773" Properties=species:S:1:pos:R:3 pbc="T T T"
Rb 0.0000 0.0000 0.0000
Zr 0.0000 0.0000 2.5886
Zn 0.0000 2.5288 0.0000
Zn 2.5288 0.0000 0.0000
Ru 2.5288 2.5288 2.5886
```

=====

Density functional theory data (GGA-PBE) for a relaxed ScTlSbTe2 crystal.

- VASP energy: -4.092 eV/atom
- Theoretical density: 5.92 Mg/m³
- SG: No. 123
- Distance to the lowest polymorph of the same formula: 0 meV per atom
- Uncorrected formation energy: -1.35 eV/f.u.

```
5
Lattice="5.6271 0.0000 0.0000 0.0000 5.6271 0.0000 0.0000 0.0000 5.5490" Properties=species:S:1:pos:R:3 pbc="T T T"
Sc 0.0000 0.0000 0.0000
Tl 2.8136 2.8136 2.7745
Sb 0.0000 0.0000 2.7745
Te 0.0000 2.8136 0.0000
Te 2.8136 0.0000 0.0000
```

=====

Density functional theory data (GGA-PBE) for a relaxed AuBrO3 crystal.

- VASP energy: -3.133 eV/atom
- Theoretical density: 8.04 Mg/m³
- SG: No. 221
- Uncorrected formation energy: 4.16 eV/f.u.

```
5
Lattice="4.0628 0.0000 0.0000 0.0000 4.0628 0.0000 0.0000 0.0000 4.0628" Properties=species:S:1:pos:R:3 pbc="T T T"
Au 0.0000 0.0000 0.0000
Br 2.0314 2.0314 2.0314
O 0.0000 0.0000 2.0314
O 0.0000 2.0314 0.0000
O 2.0314 0.0000 0.0000
```

=====

Density functional theory data (GGA-PBE) for a relaxed Tb2Zn2GaRh5 crystal.

- VASP energy: -5.787 eV/atom
- Theoretical density: 10.26 Mg/m³
- SG: No. 127
- DFT formation energy: -606 kJ/mol of formula units

```
20
Lattice="9.6830 0.0000 0.0000 0.0000 9.6830 0.0000 0.0000 0.0000 3.5663" Properties=species:S:1:pos:R:3 pbc="T T T"
Tb 1.6730 3.1685 0.0000
Tb 3.1685 8.0100 0.0000
Tb 6.5145 1.6730 0.0000
Tb 8.0100 6.5145 0.0000
Zn 1.2259 6.0674 0.0000
Zn 3.6156 1.2259 0.0000
Zn 6.0674 8.4571 0.0000
Zn 8.4571 3.6156 0.0000
Ga 0.0000 0.0000 0.0000
Ga 4.8415 4.8415 0.0000
Rh 0.0000 4.8415 1.7831
Rh 0.6291 7.7601 1.7831
Rh 1.9229 0.6291 1.7831
Rh 2.9186 5.4706 1.7831
Rh 4.2124 2.9186 1.7831
Rh 4.8415 0.0000 1.7831
Rh 5.4706 6.7644 1.7831
Rh 6.7644 4.2124 1.7831
Rh 7.7601 9.0539 1.7831
Rh 9.0539 1.9229 1.7831
```

=====

Density functional theory data (GGA-PBE) for a relaxed AgAsBr2O crystal.

- VASP energy: -2.093 eV/atom
- Theoretical density: 4.40 Mg/m³
- SG: No. 123
- Distance to the lowest polymorph of the same formula: 831 meV per atom
- Uncorrected formation energy: 5.34 eV/f.u.

```
5
Lattice="5.0931 0.0000 0.0000 0.0000 5.0931 0.0000 0.0000 0.0000 5.2230" Properties=species:S:1:pos:R:3 pbc="T T T"
Ag 0.0000 0.0000 0.0000
As 0.0000 0.0000 2.6115
Br 0.0000 2.5465 0.0000
Br 2.5465 0.0000 0.0000
O 2.5465 2.5465 2.6115
```

=====

Density functional theory data (GGA-PBE) for a relaxed Dy2TmCd5 crystal.

- VASP energy: -2.570 eV/atom
- Theoretical density: 8.98 Mg/m³
- SG: No. 139
- DFT formation energy: -223 kJ/mol of formula units

```
8
Lattice="-2.5530 2.5530 7.4931 2.5530 -2.5530 7.4931 2.5530 2.5530 -7.4931" Properties=species:S:1:pos:R:3 pbc="T T T"
Dy 0.0000 0.0000 3.6015
Dy 0.0000 0.0000 11.3846
Tm 0.0000 0.0000 7.4931
Cd 0.0000 0.0000 0.0000
Cd 2.5530 0.0000 1.7719
Cd 2.5530 0.0000 5.7212
Cd 0.0000 2.5530 1.7719
Cd 0.0000 2.5530 5.7212
```

=====

Density functional theory data (GGA-PBE) for a relaxed Nb4Ir4Rh crystal.

- VASP energy: -9.710 eV/atom
- Theoretical density: 14.25 Mg/m³
- SG: No. 139
- DFT formation energy: -416 kJ/mol of formula units

```
9
Lattice="-4.2979 4.2979 1.9612 4.2979 -4.2979 1.9612 4.2979 4.2979 -1.9612" Properties=species:S:1:pos:R:3 pbc="T T T"
Nb 2.7020 0.0000 0.0000
Nb 5.8939 0.0000 0.0000
Nb 0.0000 2.7020 0.0000
Nb 0.0000 5.8939 0.0000
Ir 2.8851 2.8851 0.0000
Ir 1.4129 -1.4129 1.9612
Ir -1.4129 1.4129 1.9612
Ir 1.4129 1.4129 1.9612
Rh 0.0000 0.0000 0.0000
```

=====

Density functional theory data (GGA-PBE) for a relaxed Ag2AsSe crystal.

- VASP energy: -3.227 eV/atom
- Theoretical density: 7.83 Mg/m³
- SG: No. 139
- Uncorrected formation energy: 0.93 eV/f.u.

```
4
Lattice="-2.1057 2.1057 4.4212 2.1057 -2.1057 4.4212 2.1057 2.1057 -4.4212" Properties=species:S:1:pos:R:3 pbc="T T T"
Ag 2.1057 0.0000 2.2106
Ag 0.0000 2.1057 2.2106
As 0.0000 0.0000 0.0000
Se 0.0000 0.0000 4.4212
```

=====

Density functional theory data (GGA-PBE) for a relaxed PmNd2SmTe5 crystal.

- VASP energy: -4.630 eV/atom
- Theoretical density: 5.40 Mg/m³
- SG: No. 123
- Uncorrected formation energy: -6.96 eV/f.u.

```
9
Lattice="5.6329 0.0000 0.0000 0.0000 5.6329 0.0000 0.0000 0.0000 11.8415" Properties=species:S:1:pos:R:3 pbc="T T T"
Pm 0.0000 0.0000 0.0000
Nd 2.8164 2.8164 4.0905
Nd 2.8164 2.8164 7.7509
Sm 0.0000 0.0000 5.9207
Te 0.0000 0.0000 2.9217
Te 0.0000 0.0000 8.9198
Te 0.0000 2.8164 5.9207
Te 2.8164 0.0000 5.9207
Te 2.8164 2.8164 0.0000
```

=====

Density functional theory data (GGA-PBE) for a relaxed Pr2PuRhO8 crystal.

- VASP energy: -8.191 eV/atom
- Theoretical density: 7.21 Mg/m³
- SG: No. 2
- Uncorrected formation energy: -27.38 eV/f.u.

```
12
Lattice="4.8059 0.0000 0.0000 -0.2890 5.1411 0.0000 -0.1040 -0.0561 7.0488" Properties=species:S:1:pos:R:3 pbc="T T T"
Pr 0.3302 0.2146 1.8552
Pr 4.0827 4.8704 5.1937
Pu 2.2585 2.5706 0.0000
Rh 2.2065 2.5425 3.5244
O 0.7479 1.1360 6.8289
O 0.8482 1.2025 3.8476
O 1.2592 3.2824 1.7900
O 1.5346 3.6980 5.2244
O 2.8784 1.3870 1.8245
O 3.1537 1.8026 5.2589
O 3.5647 3.8826 3.2012
O 3.6651 3.9490 0.2199
```

=====

Density functional theory data (GGA-PBE) for a relaxed LiAlSCl2 crystal.

- VASP energy: -2.977 eV/atom
- Theoretical density: 2.21 Mg/m³
- SG: No. 123
- Distance to the lowest polymorph of the same formula: 724 meV per atom
- Uncorrected formation energy: -1.41 eV/f.u.

```
5
Lattice="4.2978 0.0000 0.0000 0.0000 4.2978 0.0000 0.0000 0.0000 5.5796" Properties=species:S:1:pos:R:3 pbc="T T T"
Li 0.0000 0.0000 0.0000
Al 2.1489 2.1489 2.7898
S 0.0000 0.0000 2.7898
Cl 0.0000 2.1489 0.0000
Cl 2.1489 0.0000 0.0000
```

=====

Density functional theory data (GGA-PBE) for a relaxed RbLa2AlOs crystal.

- VASP energy: -3.472 eV/atom
- Theoretical density: 6.43 Mg/m³
- SG: No. 123
- DFT formation energy: 814 kJ/mol of formula units

```
5
Lattice="5.5975 0.0000 0.0000 0.0000 5.5975 0.0000 0.0000 0.0000 4.7840" Properties=species:S:1:pos:R:3 pbc="T T T"
Rb 0.0000 0.0000 0.0000
La 0.0000 2.7988 0.0000
La 2.7988 0.0000 0.0000
Al 2.7988 2.7988 2.3920
Os 0.0000 0.0000 2.3920
```

=====

Density functional theory data (GGA-PBE) for a relaxed PmIn2GaRh2 crystal.

- VASP energy: -5.051 eV/atom
- Theoretical density: 8.24 Mg/m³
- SG: No. 123
- DFT formation energy: -227 kJ/mol of formula units

```
6
Lattice="4.6813 0.0000 0.0000 0.0000 4.6813 0.0000 0.0000 0.0000 5.9783" Properties=species:S:1:pos:R:3 pbc="T T T"
Pm 0.0000 0.0000 0.0000
In 2.3407 2.3407 1.4322
In 2.3407 2.3407 4.5461
Ga 0.0000 0.0000 2.9891
Rh 0.0000 2.3407 2.9891
Rh 2.3407 0.0000 2.9891
```

=====

Density functional theory data (GGA-PBE) for a relaxed TbCuSnIr crystal.

- VASP energy: -5.837 eV/atom
- Theoretical density: 11.78 Mg/m³
- SG: No. 216
- DFT formation energy: -170 kJ/mol of formula units

```
4
Lattice="0.0000 3.3501 3.3501 3.3501 0.0000 3.3501 3.3501 3.3501 0.0000" Properties=species:S:1:pos:R:3 pbc="T T T"
Tb 0.0000 0.0000 0.0000
Cu 1.6751 1.6751 1.6751
Sn 3.3501 3.3501 3.3501
Ir 5.0252 5.0252 5.0252
```